No. 1
A relaxed structure of BeAlCo3. Source: Alexandria, functional PBEsol.

The structure belongs to space group Pm-3m (No. 221); the cell edges are 4.121, 4.121 and 4.121 Å and the angles 90.00°, 90.00° and 90.00°. Symmetry generates all atoms from Be at (0.000, 0.000, 0.000), Al at (0.500, 0.500, 0.500) and Co at (0.000, 0.500, 0.500).

For the magnetic moment, the calculation gives 2.80 Bohr magnetons per cell. For the density of states at the Fermi level, the calculation gives 7.9 states/eV/cell. As for the density: 5.05 g/cm3. The total energy is -4.9800 eV/atom.



No. 2
A relaxed structure of Be2AlCoGe. Source: Alexandria, functional PBEsol.

The structure belongs to space group P4/mmm (No. 123); the cell edges are 4.007, 4.007 and 5.017 Å and the angles 90.00°, 90.00° and 90.00°. Symmetry generates all atoms from Be at (0.000, 0.500, 0.000), Al at (0.000, 0.000, 0.500), Co at (0.500, 0.500, 0.500) and Ge at (0.000, 0.000, 0.000).

For the magnetic moment, the calculation gives 1.42 Bohr magnetons per cell. For the density of states at the Fermi level, the calculation gives 6.8 states/eV/cell. As for the density: 3.64 g/cm3. The total energy is -3.8374 eV/atom.



No. 3
A relaxed structure of BeAlCoSi2. Source: Alexandria, functional PBEsol.

The structure belongs to space group P4/mmm (No. 123); the cell edges are 4.641, 4.641 and 4.127 Å and the angles 90.00°, 90.00° and 90.00°. Symmetry generates all atoms from Be at (0.000, 0.000, 0.000), Al at (0.000, 0.000, 0.500), Co at (0.500, 0.500, 0.000) and Si at (0.000, 0.500, 0.500).

For the magnetic moment, the calculation gives 1.66 Bohr magnetons per cell. For the density of states at the Fermi level, the calculation gives 6.2 states/eV/cell. As for the density: 2.82 g/cm3. The total energy is -3.9952 eV/atom.



No. 4
A relaxed structure of BeAl2Cr. Source: Alexandria, functional PBEsol.

The structure belongs to space group I-4m2 (No. 119); the cell edges are 3.490, 3.490 and 7.916 Å and the angles 90.00°, 90.00° and 90.00°. Symmetry generates all atoms from Be at (0.000, 0.000, 0.000), Al at (0.000, 0.000, 0.500), Al at (0.000, 0.500, 0.250) and Cr at (0.000, 0.500, 0.750).

For the magnetic moment, the calculation gives 0.00 Bohr magnetons per cell. For the density of states at the Fermi level, the calculation gives 1.7 states/eV/cell. As for the density: 3.96 g/cm3. The total energy is -5.6921 eV/atom.



No. 5
A relaxed structure of Be2AlCr. Source: Alexandria, functional PBEsol.

The structure belongs to space group P2/m (No. 10); the cell edges are 2.433, 3.886 and 4.640 Å and the angles 90.00°, 98.03° and 90.00°. Symmetry generates all atoms from Be at (0.210, 0.000, 0.209), Al at (0.000, 0.500, 0.500) and Cr at (0.500, 0.500, 0.000).

For the magnetic moment, the calculation gives 0.00 Bohr magnetons per cell. For the density of states at the Fermi level, the calculation gives 2.4 states/eV/cell. As for the density: 3.71 g/cm3. The total energy is -5.4381 eV/atom.



No. 6
A relaxed structure of Be2AlCr. Source: Alexandria, functional PBEsol.

The structure belongs to space group R-3m (No. 166, hexagonal axes); the cell edges are 2.5547, 2.5547 and 23.6987 Å and the angles 90.00°, 90.00° and 120.00°. Symmetry generates all atoms from Be at (0.0000, 0.0000, 0.2460), Al at (0.0000, 0.0000, 0.0000) and Cr at (0.0000, 0.0000, 0.5000).

For the magnetic moment, the calculation gives 0.00 Bohr magnetons per cell. For the density of states at the Fermi level, the calculation gives 5.6 states/eV/cell. As for the density: 3.61 g/cm3. The total energy is -5.2736 eV/atom.



No. 7
A relaxed structure of BeAlCr. Source: Alexandria, functional PBEsol.

The structure belongs to space group F-43m (No. 216); the cell edges are 5.626, 5.626 and 5.626 Å and the angles 90.00°, 90.00° and 90.00°. Symmetry generates all atoms from Be at (0.000, 0.000, 0.000), Al at (0.000, 0.000, 0.500) and Cr at (0.250, 0.250, 0.750).

For the magnetic moment, the calculation gives 10.17 Bohr magnetons per cell. For the density of states at the Fermi level, the calculation gives 6.2 states/eV/cell. As for the density: 3.28 g/cm3. The total energy is -5.3424 eV/atom.



No. 8
A relaxed structure of Be2AlCr. Source: Alexandria, functional PBEsol.

The structure belongs to space group I-4m2 (No. 119); the cell edges are 3.288, 3.288 and 7.766 Å and the angles 90.00°, 90.00° and 90.00°. Symmetry generates all atoms from Be at (0.000, 0.000, 0.000), Be at (0.000, 0.500, 0.250), Al at (0.000, 0.500, 0.750) and Cr at (0.000, 0.000, 0.500).

For the magnetic moment, the calculation gives 0.01 Bohr magnetons per cell. For the density of states at the Fermi level, the calculation gives 5.0 states/eV/cell. As for the density: 3.84 g/cm3. The total energy is -5.5416 eV/atom.